# AlV4Rh5, optimized geometry, DFT PBE
data_AlV4Rh5
_cell_length_a 3.134
_cell_length_b 3.134
_cell_length_c 14.290
_cell_angle_alpha 90.00
_cell_angle_beta 90.00
_cell_angle_gamma 90.00
_space_group_name_H-M_alt 'P 4/m m m'
_space_group_IT_number 123
_space_group_name_Hall '-P 4 2'
loop_
_atom_site_label
_atom_site_type_symbol
_atom_site_fract_x
_atom_site_fract_y
_atom_site_fract_z
_atom_site_occupancy
Al1 Al 0.000 0.000 0.000 1
V1 V 0.000 0.000 0.204 1
V2 V 0.000 0.000 0.400 1
Rh1 Rh 0.500 0.500 0.101 1
Rh2 Rh 0.500 0.500 0.302 1
Rh3 Rh 0.500 0.500 0.500 1
# * size of the total moment: 5.36 μB/f.u.
# * E: -8.0726 eV/atom
# * crystal system: tetragonal